A plane-wave DFT calculation with GGA-PBE was carried out for a relaxed structure of PuSc2Tl3S6.

POSCAR file:
```
PuSc2Tl3S6
1.0
6.768 0.002 0.001
-3.380 5.863 0.001
-1.128 -1.954 7.469
Pu Sc Tl S
1 2 3 6
Direct
0.000 0.000 0.000
0.333 0.667 0.000
0.667 0.333 0.000
0.164 0.836 0.500
0.836 0.164 0.500
0.500 0.500 0.500
0.936 0.588 0.808
0.715 0.715 0.189
0.064 0.412 0.192
0.588 0.936 0.808
0.285 0.285 0.811
0.412 0.064 0.192
```

Summary:
- ρ (g/cm³) = 6.382
- energy relative to the elements, uncorrected (eV/atom) = -1.296

=====

A plane-wave DFT calculation with GGA-PBE was carried out for a relaxed structure of Tm3Pu2ScS6.

POSCAR file:
```
Tm3Pu2ScS6
1.0
3.846 0.000 0.000
0.000 7.739 0.266
-1.923 -2.241 8.102
Tm Pu Sc S
3 2 1 6
Direct
0.500 0.500 0.000
0.832 0.166 0.664
0.168 0.834 0.336
0.835 0.668 0.670
0.165 0.332 0.330
0.500 0.000 0.000
0.337 0.925 0.673
0.665 0.588 0.330
0.663 0.075 0.327
0.996 0.242 0.993
0.004 0.758 0.007
0.335 0.412 0.670
```

Summary:
- ρ (g/cm³) = 8.406
- energy relative to the elements, uncorrected (eV/atom) = -1.887

=====

A plane-wave DFT calculation with GGA-PBE was carried out for a relaxed structure of TmPu2ScS4.

POSCAR file:
```
TmPu2ScS4
1.0
-3.035 2.356 0.012
-3.163 -4.097 4.176
3.523 4.522 3.574
Tm Pu Sc S
1 2 1 4
Direct
0.500 0.500 0.000
0.500 0.000 0.500
0.000 0.500 0.500
0.000 0.000 0.000
0.500 0.240 0.234
0.500 0.760 0.766
0.000 0.249 0.762
0.000 0.751 0.238
```

Summary:
- ρ (g/cm³) = 8.456
- energy relative to the elements, uncorrected (eV/atom) = -1.853

=====

A plane-wave DFT calculation with GGA-PBE was carried out for a relaxed structure of Tm2PuScS6.

POSCAR file:
```
Tm2PuScS6
1.0
-3.234 -5.116 3.035
2.877 -6.121 0.299
2.504 -2.253 6.421
Tm Pu Sc S
2 1 1 6
Direct
0.517 0.517 0.448
0.014 0.014 0.959
0.815 0.815 0.554
0.320 0.320 0.040
0.600 0.222 0.247
0.222 0.930 0.247
0.930 0.600 0.247
0.406 0.712 0.758
0.712 0.124 0.758
0.124 0.406 0.758
```

Summary:
- ρ (g/cm³) = 5.611
- energy relative to the elements, uncorrected (eV/atom) = -1.865

=====

A plane-wave DFT calculation with GGA-PBE was carried out for a relaxed structure of Tm3PuSc2S6.

POSCAR file:
```
Tm3PuSc2S6
1.0
3.798 0.000 0.000
0.000 7.649 0.285
-1.899 -2.192 8.009
Tm Pu Sc S
3 1 2 6
Direct
0.500 0.500 0.000
0.836 0.166 0.672
0.164 0.834 0.328
0.500 0.000 0.000
0.837 0.674 0.674
0.163 0.326 0.326
0.330 0.909 0.659
0.670 0.577 0.341
0.670 0.091 0.341
0.003 0.258 0.005
0.997 0.742 0.995
0.330 0.423 0.659
```

Summary:
- ρ (g/cm³) = 7.299
- energy relative to the elements, uncorrected (eV/atom) = -1.899

=====

A plane-wave DFT calculation with GGA-PBE was carried out for a relaxed structure of PuSc2US4.

POSCAR file:
```
PuSc2US4
1.0
3.753 0.000 0.000
0.000 6.546 0.128
0.000 -2.275 6.277
Pu Sc U S
1 2 1 4
Direct
0.500 0.500 0.000
0.500 0.000 0.500
0.000 0.500 0.500
0.000 0.000 0.000
0.500 0.256 0.269
0.500 0.744 0.731
0.000 0.242 0.732
0.000 0.758 0.268
```

Summary:
- ρ (g/cm³) = 7.488
- energy relative to the elements, uncorrected (eV/atom) = -1.712

=====

A plane-wave DFT calculation with GGA-PBE was carried out for a relaxed structure of Pu2ScUS4.

POSCAR file:
```
Pu2ScUS4
1.0
-2.622 2.792 -0.089
-2.058 -2.125 -6.047
-3.520 -3.156 4.722
Pu Sc U S
2 1 1 4
Direct
0.500 0.000 0.500
0.000 0.500 0.500
0.000 0.000 0.000
0.500 0.500 0.000
0.500 0.238 0.235
0.500 0.762 0.765
0.000 0.243 0.759
0.000 0.757 0.241
```

Summary:
- ρ (g/cm³) = 9.160
- energy relative to the elements, uncorrected (eV/atom) = -1.670

=====

A plane-wave DFT calculation with GGA-PBE was carried out for a relaxed structure of YPuSc2S4.

POSCAR file:
```
YPuSc2S4
1.0
-1.382 -1.821 -3.033
6.049 -0.167 -2.655
-0.908 -5.427 3.672
Y Pu Sc S
1 1 2 4
Direct
0.000 0.000 0.000
0.500 0.500 0.000
0.500 0.000 0.500
0.000 0.500 0.500
0.500 0.254 0.267
0.500 0.746 0.733
0.000 0.243 0.732
0.000 0.757 0.268
```

Summary:
- ρ (g/cm³) = 5.834
- energy relative to the elements, uncorrected (eV/atom) = -1.886

=====

> Look up the energy relative to the elements, uncorrected of the fourth one.

-1.865 eV/atom